Material: Mn2OsRh2
Method: DFT, PBE
State: relaxed

It has space group P4/mbm (No. 127), with a = 6.969 Å, b = 6.969 Å, c = 2.693 Å, α = 90.00°, β = 90.00° and γ = 90.00°. The distinct sites, in fractional coordinates, are Mn at (0.115, 0.385, 0.000), Os at (0.000, 0.000, 0.000) and Rh at (0.179, 0.679, 0.500).

The calculation puts the spin magnetization at 0.00 μB/f.u. Its formation energy is 0.25 eV/atom.

---

Material: TiSi2Ir
Method: DFT, PBE
State: relaxed

It has space group Fm-3m (No. 225), with a = 6.077 Å, b = 6.077 Å, c = 6.077 Å, α = 90.00°, β = 90.00° and γ = 90.00°. The distinct sites, in fractional coordinates, are Ti at (0.000, 0.000, 0.000), Si at (0.250, 0.250, 0.250) and Ir at (0.000, 0.000, 0.500).

The calculation puts the spin magnetization at 1.99 μB/f.u. The value obtained for the uncorrected formation energy is -0.41 eV/atom.

---

Material: LiZrFe2
Method: DFT, PBE
State: relaxed

It has space group P4mm (No. 99), with a = 3.009 Å, b = 3.009 Å, c = 6.942 Å, α = 90.00°, β = 90.00° and γ = 90.00°. The distinct sites, in fractional coordinates, are Li at (0.000, 0.000, 0.000), Zr at (0.500, 0.500, 0.342), Fe at (0.000, 0.000, 0.596) and Fe at (0.500, 0.500, 0.769).

The calculation puts the spin magnetization at 4.62 μB/f.u. Its formation energy is 0.20 eV/atom.

---

Material: CsMnVTe4
Method: DFT, PBE
State: relaxed

It has space group P2_1/m (No. 11), with a = 6.825 Å, b = 7.513 Å, c = 9.634 Å, α = 90.00°, β = 93.33° and γ = 90.00°. The distinct sites, in fractional coordinates, are Cs at (0.216, 0.250, 0.041), Mn at (0.370, 0.250, 0.641), V at (0.169, 0.750, 0.462), Te at (0.093, 0.003, 0.667), Te at (0.312, 0.750, 0.198) and Te at (0.488, 0.250, 0.395).

The calculation puts the spin magnetization at 4.99 μB/f.u. The value obtained for the uncorrected formation energy is -0.35 eV/atom.

---

Material: InSiAg
Method: DFT, PBE
State: relaxed

It has space group P-6m2 (No. 187), with a = 4.3637 Å, b = 4.3637 Å, c = 3.8939 Å, α = 90.00°, β = 90.00° and γ = 120.00°. The distinct sites, in fractional coordinates, are In at (0.0000, 0.0000, 0.0000), Si at (0.6667, 0.3333, 0.5000) and Ag at (0.3333, 0.6667, 0.5000).

The calculation puts the spin magnetization at 0.00 μB/f.u. The value obtained for the uncorrected formation energy is 0.32 eV/atom.

---

Material: Ca2ScPPb
Method: DFT, PBE
State: relaxed

It has space group P4/mmm (No. 123), with a = 5.361 Å, b = 5.361 Å, c = 5.025 Å, α = 90.00°, β = 90.00° and γ = 90.00°. The distinct sites, in fractional coordinates, are Ca at (0.000, 0.500, 0.000), Sc at (0.000, 0.000, 0.500), P at (0.000, 0.000, 0.000) and Pb at (0.500, 0.500, 0.500).

The calculation puts the spin magnetization at 0.00 μB/f.u. Its formation energy is -0.73 eV/atom.

---

Material: SiPt2
Method: DFT, PBE
State: relaxed

It has space group Pa-3 (No. 205), with a = 5.805 Å, b = 5.805 Å, c = 5.805 Å, α = 90.00°, β = 90.00° and γ = 90.00°. The distinct sites, in fractional coordinates, are Si at (0.000, 0.000, 0.000) and Pt at (0.141, 0.641, 0.859).

The calculation puts the spin magnetization at 0.00 μB/f.u. The value obtained for the uncorrected formation energy is -0.40 eV/atom.

---

Material: K2AsCl
Method: DFT, PBE
State: relaxed

It has space group P4/mmm (No. 123), with a = 3.549 Å, b = 3.549 Å, c = 8.926 Å, α = 90.00°, β = 90.00° and γ = 90.00°. The distinct sites, in fractional coordinates, are K at (0.000, 0.000, 0.219), As at (0.500, 0.500, 0.500) and Cl at (0.500, 0.500, 0.000).

The calculation puts the spin magnetization at 0.00 μB/f.u. For the energy above the most stable polymorph in this dataset, the calculation gives 0.0 meV/atom. The value obtained for the uncorrected formation energy is -0.91 eV/atom.

---

Material: Pr3Nd6SmDy2
Method: DFT, PBE
State: relaxed

It has space group C2/m (No. 12), with a = 6.351 Å, b = 11.001 Å, c = 12.131 Å, α = 90.00°, β = 100.08° and γ = 90.00°. The distinct sites, in fractional coordinates, are Pr at (0.000, 0.000, 0.000), Pr at (0.000, 0.333, 0.000), Nd at (0.249, 0.000, 0.746), Nd at (0.250, 0.167, 0.254), Sm at (0.000, 0.500, 0.500) and Dy at (0.000, 0.167, 0.500).

The calculation puts the spin magnetization at 0.00 μB/f.u. Its formation energy is 0.01 eV/atom.

---

Material: HoScPdAu
Method: DFT, PBE
State: relaxed

It has space group F-43m (No. 216), with a = 6.908 Å, b = 6.908 Å, c = 6.908 Å, α = 90.00°, β = 90.00° and γ = 90.00°. The distinct sites, in fractional coordinates, are Ho at (0.000, 0.000, 0.000), Sc at (0.000, 0.000, 0.500), Pd at (0.250, 0.250, 0.750) and Au at (0.250, 0.250, 0.250).

The calculation puts the spin magnetization at 0.00 μB/f.u. For the energy above the most stable polymorph in this dataset, the calculation gives 20.7 meV/atom. Its formation energy is -0.84 eV/atom.

---

Material: CaY3Zr2N6
Method: DFT, PBE
State: relaxed

It has space group C2/m (No. 12), with a = 14.761 Å, b = 3.389 Å, c = 6.817 Å, α = 90.00°, β = 103.06° and γ = 90.00°. The distinct sites, in fractional coordinates, are Ca at (0.000, 0.000, 0.000), Y at (0.000, 0.000, 0.500), Y at (0.165, 0.500, 0.834), Zr at (0.165, 0.500, 0.332), N at (0.010, 0.500, 0.263), N at (0.170, 0.000, 0.101) and N at (0.171, 0.000, 0.574).

The calculation puts the spin magnetization at 0.00 μB/f.u. The value obtained for the uncorrected formation energy is -1.61 eV/atom.

---

Material: AcPr2Ho5Tm
Method: DFT, PBE
State: relaxed

It has space group I4/mcm (No. 140), with a = 8.835 Å, b = 8.835 Å, c = 15.631 Å, α = 90.00°, β = 90.00° and γ = 90.00°. The distinct sites, in fractional coordinates, are Ac at (0.000, 0.000, 0.250), Pr at (0.117, 0.383, 0.000), Ho at (0.000, 0.000, 0.000), Ho at (0.207, 0.293, 0.365) and Tm at (0.000, 0.500, 0.250).

The calculation puts the spin magnetization at 0.00 μB/f.u. Its formation energy is 0.26 eV/atom.

---

Material: RbZn2Sb2
Method: DFT, PBE
State: relaxed

It has space group P4/mbm (No. 127), with a = 8.927 Å, b = 8.927 Å, c = 3.374 Å, α = 90.00°, β = 90.00° and γ = 90.00°. The distinct sites, in fractional coordinates, are Rb at (0.000, 0.000, 0.000), Zn at (0.145, 0.355, 0.500) and Sb at (0.137, 0.637, 0.000).

The calculation puts the spin magnetization at 0.00 μB/f.u. The value obtained for the uncorrected formation energy is 0.06 eV/atom.

---

Material: VIn2Ga
Method: DFT, PBE
State: relaxed

It has space group Cc (No. 9), with a = 5.497 Å, b = 13.527 Å, c = 5.206 Å, α = 90.00°, β = 117.59° and γ = 90.00°. The distinct sites, in fractional coordinates, are V at (0.000, 0.010, 0.000), In at (0.000, 0.441, 0.998), In at (0.345, 0.323, 0.677) and Ga at (0.173, 0.156, 0.836).

The calculation puts the spin magnetization at 0.00 μB/f.u. Its formation energy is 0.11 eV/atom.

---

Material: Pm2Er3Cd3
Method: DFT, PBE
State: relaxed

It has space group Pmmm (No. 47), with a = 4.904 Å, b = 4.907 Å, c = 9.221 Å, α = 90.00°, β = 90.00° and γ = 90.00°. The distinct sites, in fractional coordinates, are Pm at (0.000, 0.000, 0.244), Er at (0.000, 0.500, 0.500), Er at (0.500, 0.500, 0.229), Cd at (0.000, 0.500, 0.000), Cd at (0.500, 0.000, 0.000) and Cd at (0.500, 0.000, 0.500).

The calculation puts the spin magnetization at 0.00 μB/f.u. For the energy above the most stable polymorph in this dataset, the calculation gives 47.3 meV/atom. Its formation energy is -0.18 eV/atom.

---

Material: KTlBr2F8
Method: DFT, PBE
State: relaxed

It has space group P-3 (No. 147), with a = 5.0839 Å, b = 5.0839 Å, c = 10.8839 Å, α = 90.00°, β = 90.00° and γ = 120.00°. The distinct sites, in fractional coordinates, are K at (0.0000, 0.0000, 0.0000), Tl at (0.0000, 0.0000, 0.5000), Br at (0.3333, 0.6667, 0.2066), F at (0.0471, 0.7138, 0.8022) and F at (0.3333, 0.6667, 0.4717).

The calculation puts the spin magnetization at 1.46 μB/f.u. The value obtained for the uncorrected formation energy is -1.00 eV/atom.

---

Material: BaNiTePb2
Method: DFT, PBE
State: relaxed

It has space group P4/mmm (No. 123), with a = 5.065 Å, b = 5.065 Å, c = 6.278 Å, α = 90.00°, β = 90.00° and γ = 90.00°. The distinct sites, in fractional coordinates, are Ba at (0.000, 0.000, 0.000), Ni at (0.000, 0.000, 0.500), Te at (0.500, 0.500, 0.000) and Pb at (0.000, 0.500, 0.500).

The calculation puts the spin magnetization at 0.00 μB/f.u. The value obtained for the uncorrected formation energy is -0.38 eV/atom.

---

Material: YEr3Pu2Se6
Method: DFT, PBE
State: relaxed

It has space group C2/m (No. 12), with a = 17.809 Å, b = 4.062 Å, c = 8.196 Å, α = 90.00°, β = 103.67° and γ = 90.00°. The distinct sites, in fractional coordinates, are Y at (0.000, 0.000, 0.000), Er at (0.000, 0.000, 0.500), Er at (0.167, 0.500, 0.833), Pu at (0.166, 0.500, 0.333), Se at (0.003, 0.500, 0.748), Se at (0.165, 0.000, 0.588) and Se at (0.167, 0.000, 0.077).

The calculation puts the spin magnetization at 11.83 μB/f.u. The value obtained for the uncorrected formation energy is -1.68 eV/atom.

---

Material: CsK3F
Method: DFT, PBE
State: relaxed

It has space group Pm-3m (No. 221), with a = 8.448 Å, b = 8.448 Å, c = 8.448 Å, α = 90.00°, β = 90.00° and γ = 90.00°. The distinct sites, in fractional coordinates, are Cs at (0.000, 0.000, 0.000), K at (0.000, 0.000, 0.500) and F at (0.500, 0.500, 0.500).

The calculation puts the spin magnetization at 0.00 μB/f.u. For the energy above the most stable polymorph in this dataset, the calculation gives 780.3 meV/atom. The value obtained for the uncorrected formation energy is -0.06 eV/atom.

---

Material: Pm6Ni2Ir
Method: DFT, PBE
State: relaxed

It has space group Immm (No. 71), with a = 9.585 Å, b = 9.765 Å, c = 9.863 Å, α = 90.00°, β = 90.00° and γ = 90.00°. The distinct sites, in fractional coordinates, are Pm at (0.000, 0.241, 0.180), Pm at (0.187, 0.332, 0.500), Pm at (0.237, 0.000, 0.328), Ni at (0.000, 0.118, 0.500), Ni at (0.000, 0.500, 0.326), Ir at (0.000, 0.000, 0.000) and Ir at (0.000, 0.500, 0.000).

The calculation puts the spin magnetization at 0.00 μB/f.u. Its formation energy is -0.32 eV/atom.